Model a:
# AcTaO4

Crystalline AcTaO4 at its relaxed geometry (GGA-PBE, Alexandria).

Computed properties:
Crystal system: tetragonal
Space-group type: I4_1/a, No. 88

POSCAR file:
```
AcTaO4
1.0
-2.776 2.776 6.075
2.776 -2.776 6.075
2.776 2.776 -6.075
Ac Ta O
2 2 8
Cartesian
0.000 1.388 1.519
2.776 1.388 4.556
2.776 1.388 -1.519
0.000 1.388 7.594
1.425 0.554 -0.505
1.942 -0.037 2.533
1.942 2.739 -2.533
1.351 -0.554 5.570
1.425 3.330 0.505
0.834 0.037 8.608
0.834 2.813 3.542
1.351 2.222 6.580
```



Model b:
# AcTaO4

Crystalline AcTaO4 at its relaxed geometry (GGA-PBE, Alexandria).

Computed properties:
Crystal system: monoclinic
Space-group type: P2_1/c, No. 14

POSCAR file:
```
AcTaO4
1.0
5.936 0.000 0.000
0.000 5.364 0.000
-1.374 0.000 5.660
Ac Ta O
2 2 8
Cartesian
0.000 0.000 0.000
-0.687 2.682 2.830
2.281 0.000 2.830
2.968 2.682 0.000
0.524 0.664 2.305
-0.163 2.018 5.135
1.379 3.982 4.084
2.066 4.065 1.254
2.496 1.300 4.406
3.183 1.382 1.576
4.725 3.346 0.524
4.038 4.700 3.354
```



The structure with the greatest stability is model a.



Model a:
# AcTb2O

Crystalline AcTb2O at its relaxed geometry (GGA-PBE, Alexandria).

Computed properties:
Crystal system: tetragonal
Space-group type: P4/mmm, No. 123

POSCAR file:
```
AcTb2O
1.0
3.325 0.000 0.000
0.000 3.325 0.000
0.000 0.000 8.933
Ac Tb O
1 2 1
Cartesian
0.000 0.000 0.000
1.662 1.662 2.929
1.662 1.662 6.004
0.000 0.000 4.467
```



Model b:
# AcTb2O

Crystalline AcTb2O at its relaxed geometry (GGA-PBE, Alexandria).

Computed properties:
Crystal system: trigonal
Space-group type: R-3m, No. 166

POSCAR file:
```
AcTb2O
1.0
1.797 1.037 9.749
-1.797 1.037 9.749
0.000 -2.075 9.749
Ac Tb O
1 2 1
Cartesian
0.000 0.000 0.000
0.000 0.000 3.582
0.000 0.000 25.666
0.000 0.000 14.624
```



The structure with the greatest stability is model b.



Model a:
# AcTbO

Crystalline AcTbO at its relaxed geometry (GGA-PBE, Alexandria).

Computed properties:
Crystal system: trigonal
Space-group type: P3m1, No. 156

POSCAR file:
```
AcTbO
1.0
3.731 0.000 0.000
-1.866 3.231 0.000
0.000 0.000 6.472
Ac Tb O
1 1 1
Cartesian
0.000 0.000 0.000
1.866 1.077 3.504
0.000 2.154 4.353
```



Model b:
# AcTbO

Crystalline AcTbO at its relaxed geometry (GGA-PBE, Alexandria).

Computed properties:
Crystal system: monoclinic
Space-group type: C2/m, No. 12

POSCAR file:
```
AcTbO
1.0
7.116 -1.995 0.000
7.116 1.995 0.000
-3.209 0.000 6.367
Ac Tb O
2 2 2
Cartesian
0.230 0.000 2.842
10.794 0.000 3.525
5.375 0.000 0.247
5.649 0.000 6.120
3.680 0.000 5.011
7.344 0.000 1.356
```



The structure with the greatest stability is model b.



Model a:
# Ac2TcO8

Crystalline Ac2TcO8 at its relaxed geometry (GGA-PBE, Alexandria).

Computed properties:
Crystal system: triclinic
Space-group type: P-1, No. 2

POSCAR file:
```
Ac2TcO8
1.0
4.743 0.000 0.000
0.125 5.306 0.000
2.337 0.010 8.027
Ac Tc O
2 1 8
Cartesian
1.184 0.004 1.657
6.021 5.312 6.370
1.231 2.658 4.014
1.245 2.656 2.175
2.049 4.305 4.018
3.520 0.745 7.080
3.657 4.577 7.086
3.549 0.739 0.941
3.685 4.571 0.948
5.156 1.011 4.009
5.961 2.660 5.852
```



Model b:
# Ac2TcO8

Crystalline Ac2TcO8 at its relaxed geometry (GGA-PBE, Alexandria).

Computed properties:
Crystal system: monoclinic
Space-group type: C2/m, No. 12

POSCAR file:
```
Ac2TcO8
1.0
7.663 -2.154 0.000
7.663 2.154 0.000
-1.462 0.000 4.543
Ac Tc O
2 1 8
Cartesian
2.392 0.000 0.820
11.472 0.000 3.723
6.932 0.000 2.272
-0.917 0.000 2.991
2.641 0.000 3.455
5.167 0.000 2.040
6.964 0.000 0.190
6.900 0.000 4.353
8.697 0.000 2.503
11.223 0.000 1.089
14.781 0.000 1.552
```



The structure with the greatest stability is model a.



Model a:
# AcTcO4

Crystalline AcTcO4 at its relaxed geometry (GGA-PBE, Alexandria).

Computed properties:
Crystal system: monoclinic
Space-group type: P2_1/c, No. 14

POSCAR file:
```
AcTcO4
1.0
5.518 0.000 0.000
0.000 5.583 0.000
-0.623 0.000 5.408
Ac Tc O
2 2 8
Cartesian
0.000 0.000 0.000
-0.312 2.792 2.704
2.447 0.000 2.704
2.759 2.792 0.000
0.742 0.699 2.297
0.431 2.093 5.001
1.922 4.027 1.423
1.610 4.348 4.127
3.284 1.235 1.281
2.973 1.556 3.985
4.464 3.490 0.407
4.152 4.885 3.111
```



Model b:
# AcTcO4

Crystalline AcTcO4 at its relaxed geometry (GGA-PBE, Alexandria).

Computed properties:
Crystal system: tetragonal
Space-group type: P4/nmm, No. 129

POSCAR file:
```
AcTcO4
1.0
3.852 0.000 0.000
0.000 3.852 0.000
0.000 0.000 12.091
Ac Tc O
2 2 8
Cartesian
0.963 0.963 1.445
2.889 2.889 10.646
0.963 0.963 7.795
2.889 2.889 4.296
0.963 0.963 9.678
0.963 2.889 0.000
0.963 2.889 4.410
0.963 2.889 7.681
2.889 0.963 0.000
2.889 0.963 4.410
2.889 0.963 7.681
2.889 2.889 2.413
```



The structure with the greatest stability is model a.



Model a:
# AcTc2O8

Crystalline AcTc2O8 at its relaxed geometry (GGA-PBE, Alexandria).

Computed properties:
Crystal system: tetragonal
Space-group type: P4/mmm, No. 123

POSCAR file:
```
AcTc2O8
1.0
4.836 0.000 0.000
0.000 4.836 0.000
0.000 0.000 6.050
Ac Tc O
1 2 8
Cartesian
0.000 0.000 0.000
0.000 2.418 3.025
2.418 0.000 3.025
1.220 1.220 1.870
1.220 1.220 4.180
1.220 3.616 1.870
1.220 3.616 4.180
3.616 1.220 1.870
3.616 1.220 4.180
3.616 3.616 1.870
3.616 3.616 4.180
```



Model b:
# AcTc2O8

Crystalline AcTc2O8 at its relaxed geometry (GGA-PBE, Alexandria).

Computed properties:
Crystal system: monoclinic
Space-group type: C2/m, No. 12

POSCAR file:
```
AcTc2O8
1.0
5.424 -2.691 0.000
5.424 2.691 0.000
-2.208 0.000 6.067
Ac Tc O
1 2 8
Cartesian
0.000 0.000 0.000
0.715 0.000 4.192
7.925 0.000 1.875
3.508 1.377 1.277
0.833 0.000 2.408
2.296 0.000 4.963
5.132 1.377 4.790
3.508 -1.377 1.277
6.344 0.000 1.104
7.808 0.000 3.659
5.132 -1.377 4.790
```



The structure with the greatest stability is model b.



Model a:
# AcTcO5

Crystalline AcTcO5 at its relaxed geometry (GGA-PBE, Alexandria).

Computed properties:
Crystal system: tetragonal
Space-group type: P4/nmm, No. 129

POSCAR file:
```
AcTcO5
1.0
8.125 0.000 0.000
0.000 8.125 0.000
0.000 0.000 4.560
Ac Tc O
2 2 10
Cartesian
2.031 2.031 1.090
6.093 6.093 3.470
2.031 6.093 2.280
6.093 2.031 2.280
0.604 6.093 3.290
2.031 2.031 3.375
2.031 4.666 1.270
2.031 7.521 1.270
3.458 6.093 3.290
4.666 2.031 1.270
6.093 0.604 3.290
6.093 3.458 3.290
6.093 6.093 1.185
7.521 2.031 1.270
```



Model b:
# AcTcO5

Crystalline AcTcO5 at its relaxed geometry (GGA-PBE, Alexandria).

Computed properties:
Crystal system: monoclinic
Space-group type: C2/c, No. 15

POSCAR file:
```
AcTcO5
1.0
4.731 -3.378 0.000
4.731 3.378 0.000
-3.180 0.000 7.139
Ac Tc O
2 2 10
Cartesian
2.346 2.993 5.354
3.936 -2.993 1.785
4.731 0.000 0.000
3.141 0.000 3.569
4.552 1.877 0.250
3.319 1.877 3.319
1.483 0.069 2.818
-0.107 -0.069 6.387
2.346 0.399 5.354
3.936 -0.399 1.785
6.388 0.069 0.751
4.798 -0.069 4.321
2.962 -1.877 3.820
1.729 -1.877 6.888
```



The structure with the greatest stability is model a.



Model a:
# AcTeO4

Crystalline AcTeO4 at its relaxed geometry (GGA-PBE, Alexandria).

Computed properties:
Crystal system: monoclinic
Space-group type: P2_1/c, No. 14

POSCAR file:
```
AcTeO4
1.0
5.767 0.000 0.000
0.000 5.607 0.000
-0.844 0.000 5.728
Ac Te O
2 2 8
Cartesian
0.000 0.000 0.000
-0.422 2.803 2.864
2.462 0.000 2.864
2.883 2.803 0.000
0.731 0.780 2.276
0.310 2.023 5.140
1.894 4.017 1.487
1.472 4.393 4.351
3.451 1.213 1.377
3.029 1.590 4.241
4.613 3.584 0.588
4.192 4.827 3.452
```



Model b:
# AcTeO4

Crystalline AcTeO4 at its relaxed geometry (GGA-PBE, Alexandria).

Computed properties:
Crystal system: tetragonal
Space-group type: I-4, No. 82

POSCAR file:
```
AcTeO4
1.0
-3.641 3.641 1.821
3.641 -3.641 1.821
3.641 3.641 -1.821
Ac Te O
1 1 4
Cartesian
0.000 0.000 0.000
3.641 0.000 0.911
4.091 1.721 0.093
1.721 3.192 -0.093
1.921 0.449 1.728
-0.449 1.921 1.914
```



The structure with the greatest stability is model a.